1.
# NpSiPd

Crystalline NpSiPd at its relaxed geometry (PBE, Alexandria).

Results
VASP energy: -8.25 eV/atom
Magnetic moment: 11.85 Bohr magnetons per cell
Energy relative to the elements, uncorrected: -0.394 eV per atom
N(E_F): 4.97 states/eV/f.u.
SG: C2/m (12)

Unit cell a=5.5389 b=5.5314 c=7.0081 alpha=97.50 beta=90.00 gamma=90.00
Fractional positions:
Si  0.5000  0.7134  0.2732
Si  0.0000  0.2133  0.2732
Si  0.0000  0.7867  0.7268
Si  0.5000  0.2866  0.7268
Pd  0.2514  0.5000  0.5000
Pd  0.7486  0.5000  0.5000
Pd  0.7514  0.0000  0.5000
Pd  0.2486  0.0000  0.5000
Np  0.5000  0.8101  0.8821
Np  0.0000  0.3102  0.8821
Np  0.5000  0.1899  0.1179
Np  0.0000  0.6898  0.1179

***

2.
# SrZr2Cr

Crystalline SrZr2Cr at its relaxed geometry (PBE, Alexandria).

Results
VASP energy: -6.57 eV/atom
Magnetic moment: 0.71 Bohr magnetons per cell
N(E_F): 4.08 states/eV/f.u.
SG: C2/m (12)
Energy relative to the elements: 0.5267 eV per atom

Unit cell a=4.2670 b=4.2670 c=8.1725 alpha=86.66 beta=86.66 gamma=45.18
Fractional positions:
Sr  0.2500  0.2500  0.2500
Zr  0.4845  0.4845  0.5921
Zr  0.0155  0.0155  0.9079
Cr  0.7500  0.7500  0.7500

***

3.
# PmGdSiRh

Crystalline PmGdSiRh at its relaxed geometry (PBE, Alexandria).

Results
VASP energy: -8.49 eV/atom
Magnetic moment: 7.01 Bohr magnetons per cell
Energy relative to the elements, uncorrected: -0.585 eV per atom
N(E_F): 2.30 states/eV/f.u.
SG: F-43m (216)

Unit cell a=5.0130 b=5.0130 c=5.0130 alpha=60.00 beta=60.00 gamma=60.00
Fractional positions:
Rh  0.7500  0.7500  0.7500
Pm  0.0000  0.0000  0.0000
Si  0.2500  0.2500  0.2500
Gd  0.5000  0.5000  0.5000

***

4.
# Nd2SmZr

Crystalline Nd2SmZr at its relaxed geometry (PBE, Alexandria).

Results
VASP energy: -5.56 eV/atom
Magnetic moment: 0.00 Bohr magnetons per cell
N(E_F): 4.12 states/eV/f.u.
SG: P4/mmm (123)
Energy relative to the elements: 0.1365 eV per atom

Unit cell a=4.9656 b=4.9928 c=4.9928 alpha=90.00 beta=90.00 gamma=90.00
Fractional positions:
Sm  0.5000  0.5000  0.5000
Nd  0.0000  0.5000  0.0000
Nd  0.0000  0.0000  0.5000
Zr  0.5000  0.0000  0.0000

***

5.
# BaTmTlI6

Crystalline BaTmTlI6 at its relaxed geometry (PBE, Alexandria).

Results
VASP energy: -3.35 eV/atom
Magnetic moment: 0.00 Bohr magnetons per cell
Energy relative to the elements, uncorrected: -1.339 eV per atom
N(E_F): 0.00 states/eV/f.u.
SG: P-31c (163)

Unit cell a=8.4361 b=8.4361 c=14.6727 alpha=90.00 beta=90.00 gamma=120.00
Fractional positions:
I  0.0412  0.3791  0.6295
I  0.3791  0.3378  0.3705
I  0.3378  0.3791  0.8705
I  0.3791  0.0412  0.1295
I  0.6209  0.9588  0.8705
I  0.0412  0.6622  0.8705
I  0.9588  0.3378  0.1295
I  0.9588  0.6209  0.3705
I  0.3378  0.9588  0.6295
I  0.6209  0.6622  0.6295
I  0.6622  0.6209  0.1295
I  0.6622  0.0412  0.3705
Ba  0.6667  0.3333  0.7500
Ba  0.3333  0.6667  0.2500
Tm  0.3333  0.6667  0.7500
Tm  0.6667  0.3333  0.2500
Tl  0.0000  0.0000  0.5000
Tl  0.0000  0.0000  0.0000

***

6.
# Zr2MoOs

Crystalline Zr2MoOs at its relaxed geometry (PBE, Alexandria).

Results
VASP energy: -9.83 eV/atom
Magnetic moment: 0.00 Bohr magnetons per cell
N(E_F): 4.23 states/eV/f.u.
SG: P4mm (99)
Energy relative to the elements: -0.0381 eV per atom

Unit cell a=3.0865 b=3.0865 c=8.0278 alpha=90.00 beta=90.00 gamma=90.00
Fractional positions:
Os  0.5000  0.5000  0.7201
Zr  0.0000  0.0000  0.9655
Zr  0.5000  0.5000  0.2788
Mo  0.0000  0.0000  0.5355

***

7.
# KY2Mg

Crystalline KY2Mg at its relaxed geometry (PBE, Alexandria).

Results
VASP energy: -3.58 eV/atom
Magnetic moment: 0.97 Bohr magnetons per cell
N(E_F): 4.83 states/eV/f.u.
SG: C2/m (12)
Energy relative to the elements: 0.3225 eV per atom

Unit cell a=6.3234 b=6.3234 c=6.5313 alpha=81.26 beta=81.26 gamma=32.59
Fractional positions:
Y  0.5148  0.5148  0.4659
Y  0.9852  0.9852  0.0341
Mg  0.2500  0.2500  0.2500
K  0.7500  0.7500  0.7500

***

8.
# Ce6SiC2Br3

Crystalline Ce6SiC2Br3 at its relaxed geometry (PBE, Alexandria).

Results
VASP energy: -6.21 eV/atom
Magnetic moment: 4.57 Bohr magnetons per cell
Energy relative to the elements, uncorrected: -0.840 eV per atom
N(E_F): 25.21 states/eV/f.u.
SG: C2/m (12)

Unit cell a=3.8420 b=8.7328 c=9.5001 alpha=111.00 beta=101.67 gamma=90.00
Fractional positions:
Br  0.8393  0.1655  0.6785
Br  0.1607  0.8345  0.3215
Br  0.5000  0.5000  0.0000
Ce  0.6667  0.1415  0.3333
Ce  0.3175  0.4502  0.6350
Ce  0.9737  0.7478  0.9473
Ce  0.0263  0.2522  0.0527
Ce  0.3333  0.8585  0.6667
Ce  0.6825  0.5498  0.3650
C  0.1725  0.3415  0.3450
C  0.8275  0.6585  0.6550
Si  0.5000  0.0000  0.0000

***

9.
# MgCrGaNi

Crystalline MgCrGaNi at its relaxed geometry (PBE, Alexandria).

Results
VASP energy: -5.05 eV/atom
Magnetic moment: 3.32 Bohr magnetons per cell
N(E_F): 1.95 states/eV/f.u.
SG: F-43m (216)
Energy relative to the elements: -0.0479 eV per atom

Unit cell a=4.3092 b=4.3092 c=4.3092 alpha=60.00 beta=60.00 gamma=60.00
Fractional positions:
Ga  0.0000  0.0000  0.0000
Mg  0.5000  0.5000  0.5000
Cr  0.2500  0.2500  0.2500
Ni  0.7500  0.7500  0.7500

***

10.
# Zr6CoPd2

Crystalline Zr6CoPd2 at its relaxed geometry (PBE, Alexandria).

Results
VASP energy: -8.01 eV/atom
Magnetic moment: 0.00 Bohr magnetons per cell
N(E_F): 9.08 states/eV/f.u.
SG: P-62m (189)
Energy relative to the elements: -0.3635 eV per atom

Unit cell a=3.3472 b=7.8396 c=7.8382 alpha=120.01 beta=90.00 gamma=90.00
Fractional positions:
Zr  0.0000  0.7559  0.7559
Zr  0.5000  0.9997  0.5946
Zr  0.5000  0.5951  0.0000
Zr  0.0000  0.0000  0.2441
Zr  0.5000  0.4051  0.4054
Zr  0.0000  0.2443  0.0000
Co  0.5000  0.0002  0.0000
Pd  0.0000  0.6665  0.3332
Pd  0.0000  0.3332  0.6668

***

11.
# Ni24Ir5

Crystalline Ni24Ir5 at its relaxed geometry (PBE, Alexandria).

Results
VASP energy: -6.23 eV/atom
Magnetic moment: 19.15 Bohr magnetons per cell
N(E_F): 53.78 states/eV/f.u.
SG: I-43m (217)
Energy relative to the elements: 0.0820 eV per atom

Unit cell a=7.5930 b=7.5930 c=7.5930 alpha=109.47 beta=109.47 gamma=109.47
Fractional positions:
Ni  0.4053  0.7247  0.4053
Ni  0.5947  0.0000  0.3194
Ni  0.0000  0.8094  0.6225
Ni  0.0000  0.5947  0.3194
Ni  0.6806  0.2753  0.6806
Ni  0.3194  0.0000  0.5947
Ni  0.8094  0.6225  0.0000
Ni  0.3775  0.1868  0.3775
Ni  0.3194  0.5947  0.0000
Ni  0.3775  0.3775  0.1868
Ni  0.2753  0.6806  0.6806
Ni  0.8132  0.1906  0.1906
Ni  0.6225  0.8094  0.0000
Ni  0.4053  0.4053  0.7247
Ni  0.7247  0.4053  0.4053
Ni  0.1906  0.8132  0.1906
Ni  0.0000  0.6225  0.8094
Ni  0.8094  0.0000  0.6225
Ni  0.5947  0.3194  0.0000
Ni  0.6225  0.0000  0.8094
Ni  0.0000  0.3194  0.5947
Ni  0.6806  0.6806  0.2753
Ni  0.1868  0.3775  0.3775
Ni  0.1906  0.1906  0.8132
Ir  0.0000  0.0000  0.3623
Ir  0.6377  0.6377  0.6377
Ir  0.3623  0.0000  0.0000
Ir  0.0000  0.0000  0.0000
Ir  0.0000  0.3623  0.0000

***

12.
# La15HoTl4

Crystalline La15HoTl4 at its relaxed geometry (PBE, Alexandria).

Results
VASP energy: -4.58 eV/atom
Magnetic moment: 0.00 Bohr magnetons per cell
N(E_F): 30.22 states/eV/f.u.
SG: P4/mmm (123)
Energy relative to the elements: -0.1844 eV per atom

Unit cell a=5.0760 b=5.0760 c=25.7631 alpha=90.00 beta=90.00 gamma=90.00
Fractional positions:
La  0.0000  0.5000  0.5000
La  0.5000  0.5000  0.5986
La  0.0000  0.5000  0.3021
La  0.5000  0.5000  0.4014
La  0.5000  0.0000  0.5000
La  0.5000  0.5000  0.7974
La  0.5000  0.5000  0.0000
La  0.0000  0.5000  0.8969
La  0.0000  0.5000  0.6979
La  0.5000  0.0000  0.1031
La  0.5000  0.5000  0.2026
La  0.5000  0.0000  0.6979
La  0.5000  0.0000  0.3021
La  0.0000  0.5000  0.1031
La  0.5000  0.0000  0.8969
Tl  0.0000  0.0000  0.5989
Tl  0.0000  0.0000  0.4011
Tl  0.0000  0.0000  0.7961
Tl  0.0000  0.0000  0.2039
Ho  0.0000  0.0000  0.0000